Material: MgAl2ZnAu4
Method: DFT, PBE
State: optimized geometry

```
MgAl2ZnAu4
1.0
-0.572 4.516 0.044
-4.106 1.782 -0.828
-3.148 1.828 7.033
Mg Al Zn Au
1 2 1 4
Direct
0.000 0.000 0.000
0.749 0.749 0.754
0.251 0.251 0.246
0.500 0.500 0.500
0.378 0.378 0.866
0.874 0.874 0.378
0.126 0.126 0.622
0.622 0.622 0.134
```

Properties
formation energy from the elements	-0.3628	eV/atom
M_tot	0.00	μB per cell

Material: DyCd6Ag4
Method: DFT, PBE
State: optimized geometry

```
DyCd6Ag4
1.0
-1.266 6.739 -2.299
-0.723 -5.617 -4.498
-4.562 -3.240 4.582
Dy Cd Ag
1 6 4
Direct
0.000 0.000 0.000
0.000 0.884 0.548
0.000 0.548 0.884
0.664 0.116 0.116
0.500 0.000 0.500
0.336 0.452 0.452
0.500 0.500 0.000
0.000 0.255 0.610
0.645 0.390 0.390
0.000 0.610 0.255
0.355 0.745 0.745
```

Properties
formation energy from the elements	-0.0035	eV/atom
M_tot	0.00	μB per cell

Material: W3Cl
Method: DFT, PBE
State: optimized geometry

```
W3Cl
1.0
5.732 0.008 -0.006
3.211 4.748 0.006
-3.948 -3.363 2.442
Cl W
1 3
Direct
0.010 0.000 0.010
0.430 0.500 0.930
0.898 0.201 0.697
0.496 0.799 0.697
```

Properties
offset from the most stable computed form	0.98	eV/f.u.
M_tot	0.00	μB per cell
formation energy (no corrections)	18.84	kcal/mol of atoms

Number 1: DFT total energy -3.30 eV per atom. Number 2: DFT total energy -1.96 eV per atom. Number 3: DFT total energy -9.36 eV per atom.